Entry 1:
A relaxed TlTcF3 crystal, computed with PBE-GGA.

formation energy without anion corrections = -12.197 kcal/mol of atoms
density = 5.93 g/cm³

Cell lengths 4.6524, 4.6524, 4.6524 Å; angles 90.00, 90.00, 90.00 degrees
With the nearest neighbours (Å) after each atom.
Fractional positions:
1 Tl 0.0000 0.0000 0.0000  6 F 2.33
2 Tc 0.5000 0.5000 0.5000  12 F 3.29
3 F 0.0000 0.0000 0.5000  2 Tl 2.33
4 F 0.0000 0.5000 0.0000  2 Tl 2.33
5 F 0.5000 0.0000 0.0000  2 Tl 2.33

Entry 2:
A relaxed Tl2TcF crystal, computed with PBE-GGA.

formation energy without anion corrections = 3.688 kcal/mol of atoms
density = 10.70 g/cm³

Cell lengths 4.8688, 4.8688, 4.8688 Å; angles 60.00, 60.00, 60.00 degrees
With the nearest neighbours (Å) after each atom.
Fractional positions:
1 Tl 0.2500 0.2500 0.2500  4 F 2.98, 4 Tc 2.98
2 Tl 0.7500 0.7500 0.7500  4 F 2.98, 4 Tc 2.98
3 Tc 0.0000 0.0000 0.0000  8 Tl 2.98
4 F 0.5000 0.5000 0.5000  8 Tl 2.98